No. 1
5
Lattice="4.6309 0.0000 0.0000 0.0000 4.6309 0.0000 0.0000 0.0000 4.6309" Properties=species:S:1:pos:R:3 comment="YRhW3 (GGA-PBEsol, relaxed)" e_tot_ev_per_atom=-8.095 ef_ev_per_atom=3.18 spacegroup="No. 221" magmom_total_mub_per_fu=0.00 pbc="T T T"
Y 0.0000 0.0000 0.0000
Rh 2.3154 2.3154 2.3154
W 0.0000 0.0000 2.3154
W 0.0000 2.3154 0.0000
W 2.3154 0.0000 0.0000

---

No. 2
5
Lattice="5.1345 0.0000 0.0000 0.0000 5.1345 0.0000 0.0000 0.0000 4.9068" Properties=species:S:1:pos:R:3 comment="YZrS2Cl (GGA-PBEsol, relaxed)" e_tot_ev_per_atom=-6.022 spacegroup="No. 123" magmom_total_mub_per_fu=2.00 pbc="T T T"
Y 0.0000 0.0000 0.0000
Zr 2.5673 2.5673 2.4534
S 0.0000 2.5673 0.0000
S 2.5673 0.0000 0.0000
Cl 0.0000 0.0000 2.4534

---

No. 3
5
Lattice="5.3965 0.0000 0.0000 0.0000 5.3965 0.0000 0.0000 0.0000 5.4935" Properties=species:S:1:pos:R:3 comment="RbGeAs2Se (GGA-PBEsol, relaxed)" e_tot_ev_per_atom=-2.359 spacegroup="No. 123" polymorph_energy_ev_per_atom=1.451 magmom_total_mub_per_fu=0.00 pbc="T T T"
Rb 0.0000 0.0000 0.0000
Ge 2.6982 2.6982 2.7467
As 0.0000 2.6982 0.0000
As 2.6982 0.0000 0.0000
Se 0.0000 0.0000 2.7467

---

No. 4
4
Lattice="0.0000 3.0088 3.0088 3.0088 0.0000 3.0088 3.0088 3.0088 0.0000" Properties=species:S:1:pos:R:3 comment="Fe2NiPb (GGA-PBEsol, relaxed)" e_tot_ev_per_atom=-6.549 ef_ev_per_atom=0.47 spacegroup="No. 225" magmom_total_mub_per_fu=4.67 pbc="T T T"
Fe 1.5044 1.5044 1.5044
Fe 4.5132 4.5132 4.5132
Ni 0.0000 0.0000 0.0000
Pb 3.0088 3.0088 3.0088

---

No. 5
4
Lattice="2.7515 0.0000 0.0000 0.0000 3.8452 0.0000 0.0000 0.0000 6.7925" Properties=species:S:1:pos:R:3 comment="CaOs2W (GGA-PBEsol, relaxed)" e_tot_ev_per_atom=-9.425 ef_ev_per_atom=0.67 spacegroup="No. 25" magmom_total_mub_per_fu=0.00 pbc="T T T"
Ca 0.0000 0.0000 0.0000
Os 0.0000 0.0000 3.3016
Os 1.3758 1.9226 1.9111
W 1.3758 1.9226 4.4662

---

No. 6
5
Lattice="5.3052 0.0000 0.0000 0.0000 5.3052 0.0000 0.0000 0.0000 4.7633" Properties=species:S:1:pos:R:3 comment="In2AsPPb (GGA-PBEsol, relaxed)" e_tot_ev_per_atom=-3.710 ef_ev_per_atom=0.46 spacegroup="No. 123" magmom_total_mub_per_fu=0.00 pbc="T T T"
In 0.0000 2.6526 0.0000
In 2.6526 0.0000 0.0000
As 0.0000 0.0000 0.0000
P 0.0000 0.0000 2.3817
Pb 2.6526 2.6526 2.3817

---

No. 7
40
Lattice="3.6128 -4.6801 0.0000 3.6128 4.6801 0.0000 -2.4795 0.0000 10.7935" Properties=species:S:1:pos:R:3 comment="SmAl3B4O12 (GGA-PBEsol, relaxed)" e_tot_ev_per_atom=-8.290 spacegroup="No. 15" magmom_total_mub_per_fu=0.00 pbc="T T T"
Sm 1.7532 4.3366 8.0951
Sm 2.9930 -4.3366 2.6984
Al 2.0422 2.3467 5.0886
Al 3.9437 2.3467 0.3082
Al 2.9930 0.8282 2.6984
Al 1.7532 -0.8282 8.0951
Al 0.8025 -2.3467 10.4854
Al 2.7039 -2.3467 5.7049
B 0.2842 1.7482 8.3966
B 1.8024 0.2656 0.0483
B 0.5627 -0.2656 5.4450
B 1.5240 -1.7482 2.9998
B 3.2222 1.7482 7.7937
B 4.1835 0.2656 5.3485
B 2.9438 -0.2656 10.7453
B 4.4619 -1.7482 2.3970
O 2.7775 3.7745 0.6988
O 1.7294 2.2050 3.1880
O 0.5761 1.1227 5.3699
O 1.0332 2.4421 9.3054
O 3.2084 3.7745 4.6979
O 0.3637 0.3967 8.1899
O 2.7307 0.9661 0.7937
O 2.4732 2.4421 6.8849
O 1.6035 -0.3967 2.7932
O -0.6637 -1.1227 10.7667
O 4.2565 2.2050 2.2088
O 3.2552 0.9661 4.6031
O 1.4910 -0.9661 6.1905
O 0.4897 -2.2050 8.5848
O 5.4098 1.1227 0.0268
O 3.1427 0.3967 8.0004
O 2.2730 -2.4421 3.9086
O 2.0154 -0.9661 9.9998
O 4.3825 -0.3967 2.6036
O 1.5378 -3.7745 6.0956
O 3.7129 -2.4421 1.4881
O 4.1701 -1.1227 5.4236
O 3.0168 -2.2050 7.6055
O 1.9687 -3.7745 10.0947

---

No. 8
5
Lattice="3.6493 0.0000 0.0000 0.0000 3.6493 0.0000 0.0000 0.0000 3.6493" Properties=species:S:1:pos:R:3 comment="PtC3F (GGA-PBEsol, relaxed)" e_tot_ev_per_atom=-4.535 spacegroup="No. 221" magmom_total_mub_per_fu=0.00 pbc="T T T"
Pt 0.0000 0.0000 0.0000
C 0.0000 1.8247 1.8247
C 1.8247 0.0000 1.8247
C 1.8247 1.8247 0.0000
F 1.8247 1.8247 1.8247